Pu2Si3Ni4Rh (PBE, relaxed); crystal system = tetragonal; E_form (uncorrected) = -0.545 eV/atom
1.0
3.787 0.000 0.000
0.000 3.787 0.000
0.000 0.000 10.596
Pu Si Ni Rh
2 3 4 1
Cartesian
0.000 1.894 2.598 Pu
1.894 0.000 7.997 Pu
0.000 0.000 0.000 Si
0.000 1.894 6.610 Si
1.894 0.000 3.986 Si
0.000 0.000 5.298 Ni
0.000 1.894 8.915 Ni
1.894 0.000 1.681 Ni
1.894 1.894 5.298 Ni
1.894 1.894 0.000 Rh

Pu2Si4Ni3Rh (PBE, relaxed); crystal system = tetragonal; E_form (uncorrected) = -0.710 eV/atom
1.0
3.987 0.000 0.000
0.000 3.987 0.000
0.000 0.000 9.708
Pu Si Ni Rh
2 4 3 1
Cartesian
0.000 1.994 2.348 Pu
1.994 0.000 7.360 Pu
0.000 0.000 0.000 Si
0.000 1.994 6.200 Si
1.994 0.000 3.508 Si
1.994 1.994 0.000 Si
0.000 1.994 8.520 Ni
1.994 0.000 1.188 Ni
1.994 1.994 4.854 Ni
0.000 0.000 4.854 Rh

Values for VASP energy, eV per cell, ordered as above
-80.9 -82.2